VASP calculation (PBE-GGA) on crystalline LiCdAg2 at its relaxed geometry.

```
LiCdAg2
1.0
4.666 0.000 0.000
2.333 4.041 0.000
2.333 1.347 3.810
Li Ag Cd
1 2 1
Cartesian
7.000 4.041 2.858
0.000 0.000 0.000
2.333 1.347 0.953
4.666 2.694 1.905
```

Summary:
Total magnetic moment: 0.000 μB/f.u.
Formation enthalpy at 0 K: -165 meV/atom